First-principles (PBE+U) data for a relaxed Nb2FePb3O9 crystal, as listed in Alexandria via LeMat-Bulk.

Lattice parameters (Å, degrees): 5.8164 5.8164 7.1388 90.00 90.00 120.00
Space group P-3m1 (No. 164)
One atom of each set of equivalent atoms:
Nb  0.3333  0.6667  0.1908
Fe  0.0000  0.0000  0.5000
Pb  0.0000  0.0000  0.0000
Pb  0.3333  0.6667  0.7069
O  0.0000  0.5000  0.0000
O  0.1683  0.3365  0.3232

The spin magnetization comes out at 0.267 μB/atom. The calculation puts the final energy at -7.27 eV per atom.